A relaxed structure of YSc3Pd4. Source: the Alexandria database, functional PBE.

abc: 4.8084 6.5945 9.6153
angles: 90.00 90.00 90.00
Fractional coordinates of all 16 atoms:
Pd 0.5000 0.2379 0.0000
Pd 0.0003 0.2381 0.7500
Pd 0.9997 0.2381 0.2500
Pd 0.5000 0.7621 0.5000
Pd 0.5000 0.7621 0.0000
Pd 0.5000 0.2379 0.5000
Pd 0.0003 0.7619 0.7500
Pd 0.9997 0.7619 0.2500
Sc 0.5002 0.0000 0.7500
Sc 0.0000 0.0000 0.5000
Sc 0.4999 0.5000 0.2500
Sc 0.0000 0.0000 0.0000
Sc 0.5001 0.5000 0.7500
Sc 0.4998 0.0000 0.2500
Y 0.0000 0.5000 0.5000
Y 0.0000 0.5000 0.0000

Summary:
Electronic total energy ... -106.5 eV for the cell shown

=====

A relaxed structure of Y2ScPd2. Source: the Alexandria database, functional PBE.

abc: 3.9979 3.9979 8.2974
angles: 76.06 76.06 90.00
Fractional coordinates of all 5 atoms:
Y 0.6193 0.6193 0.7613
Y 0.3807 0.3807 0.2387
Pd 0.2500 0.7500 0.5000
Pd 0.7500 0.2500 0.5000
Sc 0.0000 0.0000 0.0000

Summary:
Polymorph energy (0 for the lowest one) ... 453 meV per atom
Electronic total energy ... -31.0 eV for the cell shown

=====

A relaxed structure of YSc2Pd. Source: the Alexandria database, functional PBE.

abc: 4.6072 6.0179 7.4723
angles: 90.00 90.00 112.55
Fractional coordinates of all 8 atoms:
Y 0.0526 0.1052 0.7500
Y 0.9474 0.8948 0.2500
Sc 0.3486 0.6973 0.5429
Sc 0.6514 0.3027 0.0429
Sc 0.3486 0.6973 0.9571
Sc 0.6514 0.3027 0.4571
Pd 0.7951 0.5900 0.7500
Pd 0.2049 0.4100 0.2500

Summary:
Polymorph energy (0 for the lowest one) ... 13 meV per atom
Electronic total energy ... -52.2 eV for the cell shown

=====

A relaxed structure of Y6ScPd3. Source: the Alexandria database, functional PBE.

abc: 7.1290 8.7397 8.7397
angles: 98.76 90.00 90.00
Fractional coordinates of all 20 atoms:
Y 0.8267 0.9691 0.5745
Y 0.0228 0.7722 0.2278
Y 0.1481 0.0416 0.9584
Y 0.3267 0.0309 0.4255
Y 0.6700 0.2975 0.3715
Y 0.6481 0.9584 0.0416
Y 0.6700 0.6285 0.7025
Y 0.1700 0.7025 0.6285
Y 0.3267 0.5745 0.9691
Y 0.1700 0.3715 0.2975
Y 0.8267 0.4255 0.0309
Y 0.5228 0.2278 0.7722
Pd 0.9552 0.0886 0.2861
Pd 0.8692 0.5842 0.4158
Pd 0.3692 0.4158 0.5842
Pd 0.9552 0.7139 0.9114
Pd 0.4552 0.2861 0.0886
Pd 0.4552 0.9114 0.7139
Sc 0.0415 0.3205 0.6795
Sc 0.5415 0.6795 0.3205

Summary:
Electronic total energy ... -131.0 eV for the cell shown

=====

A relaxed structure of YScPd2. Source: the Alexandria database, functional PBE.

abc: 3.3512 3.3512 7.0835
angles: 90.00 90.00 90.00
Fractional coordinates of all 4 atoms:
Y 0.5000 0.5000 0.5000
Sc 0.5000 0.5000 0.0000
Pd 0.0000 0.0000 0.7750
Pd 0.0000 0.0000 0.2250

Summary:
Polymorph energy (0 for the lowest one) ... 0 meV per atom
Electronic total energy ... -26.7 eV for the cell shown

=====

A relaxed structure of Y5Sc4Pd4. Source: the Alexandria database, functional PBE.

abc: 3.7720 9.3137 9.3137
angles: 87.65 78.32 78.32
Fractional coordinates of all 13 atoms:
Y 0.3683 0.3299 0.9336
Y 0.6317 0.6701 0.0664
Y 0.3019 0.0664 0.3299
Y 0.0000 0.0000 0.0000
Y 0.6981 0.9336 0.6701
Sc 0.4235 0.6958 0.4573
Sc 0.1193 0.4573 0.3042
Sc 0.8807 0.5427 0.6958
Sc 0.5765 0.3042 0.5427
Pd 0.9515 0.8127 0.2844
Pd 0.7642 0.2844 0.1873
Pd 0.2358 0.7156 0.8127
Pd 0.0485 0.1873 0.7156

Summary:
Electronic total energy ... -85.5 eV for the cell shown

=====

A relaxed structure of YSc3Pd2. Source: the Alexandria database, functional PBE.

abc: 4.6359 6.7697 8.3542
angles: 90.00 90.00 90.00
Fractional coordinates of all 12 atoms:
Pd 0.0000 0.2512 0.6569
Pd 0.0000 0.7512 0.3431
Pd 0.5000 0.7493 0.8526
Pd 0.5000 0.2493 0.1474
Sc 0.0000 0.9808 0.0712
Sc 0.0000 0.3563 0.3162
Sc 0.5000 0.1454 0.8341
Sc 0.0000 0.4808 0.9288
Sc 0.0000 0.8563 0.6838
Sc 0.5000 0.6454 0.1659
Y 0.5000 0.5170 0.5724
Y 0.5000 0.0170 0.4276

Summary:
Electronic total energy ... -79.3 eV for the cell shown

=====

A relaxed structure of Y2ScPd2. Source: the Alexandria database, functional PBE.

abc: 8.2848 8.2848 3.3011
angles: 90.00 90.00 90.00
Fractional coordinates of all 10 atoms:
Pd 0.8433 0.3433 0.5000
Pd 0.1567 0.6567 0.5000
Pd 0.6567 0.8433 0.5000
Pd 0.3433 0.1567 0.5000
Sc 0.0000 0.0000 0.0000
Sc 0.5000 0.5000 0.0000
Y 0.1440 0.3560 0.0000
Y 0.8560 0.6440 0.0000
Y 0.6440 0.1440 0.0000
Y 0.3560 0.8560 0.0000

Summary:
Polymorph energy (0 for the lowest one) ... 261 meV per atom
Electronic total energy ... -63.9 eV for the cell shown

=====

A relaxed structure of YSc2Pd. Source: the Alexandria database, functional PBE.

abc: 10.5518 10.5518 10.5518
angles: 18.06 18.06 18.06
Each line ends with the local moment (μB).
Fractional coordinates of all 4 atoms:
Pd 0.5000 0.5000 0.5000  -0.01
Y 0.0000 0.0000 0.0000  0.21
Sc 0.1035 0.1035 0.1035  0.03
Sc 0.8965 0.8965 0.8965  0.03

Summary:
Polymorph energy (0 for the lowest one) ... 372 meV per atom
Electronic total energy ... -24.6 eV for the cell shown

=====

A relaxed structure of YScPd2. Source: the Alexandria database, functional PBE.

abc: 4.8404 4.8404 4.8404
angles: 60.00 60.00 60.00
Fractional coordinates of all 4 atoms:
Pd 0.7500 0.7500 0.7500
Pd 0.2500 0.2500 0.2500
Y 0.5000 0.5000 0.5000
Sc 0.0000 0.0000 0.0000

Summary:
Polymorph energy (0 for the lowest one) ... 11 meV per atom
Electronic total energy ... -26.6 eV for the cell shown

=====

A relaxed structure of Y3ScPd. Source: the Alexandria database, functional PBE.

abc: 5.3288 5.3288 5.3288
angles: 90.00 90.00 90.00
Each line ends with the local moment (μB).
Fractional coordinates of all 5 atoms:
Y 0.0000 0.5000 0.0000  0.03
Y 0.5000 0.0000 0.0000  0.01
Y 0.0000 0.0000 0.5000  0.04
Pd 0.5000 0.5000 0.5000  0.01
Sc 0.0000 0.0000 0.0000  0.17

Summary:
Polymorph energy (0 for the lowest one) ... 1039 meV per atom
Electronic total energy ... -27.0 eV for the cell shown

=====

A relaxed structure of Y4ScPd2. Source: the Alexandria database, functional PBE.

abc: 5.1656 5.1656 8.8486
angles: 73.03 73.03 60.00
Fractional coordinates of all 7 atoms:
Y 0.1193 0.1193 0.6420
Y 0.8807 0.8807 0.3580
Y 0.7121 0.7121 0.8638
Y 0.2879 0.2879 0.1362
Pd 0.3988 0.3988 0.8036
Pd 0.6012 0.6012 0.1964
Sc 0.5000 0.5000 0.5000

Summary:
Electronic total energy ... -44.8 eV for the cell shown

=====

A relaxed structure of YScPd4. Source: the Alexandria database, functional PBE.

abc: 3.6113 5.1383 7.0259
angles: 104.13 75.11 69.43
Fractional coordinates of all 6 atoms:
Pd 0.8542 0.4782 0.8134
Pd 0.3111 0.0286 0.3492
Pd 0.1458 0.5218 0.1866
Pd 0.6889 0.9714 0.6508
Sc 0.5000 0.5000 0.5000
Y 0.0000 0.0000 0.0000

Summary:
Polymorph energy (0 for the lowest one) ... 0 meV per atom
Electronic total energy ... -38.2 eV for the cell shown

=====

A relaxed structure of YSc2Pd2. Source: the Alexandria database, functional PBE.

abc: 7.6651 7.6651 3.6259
angles: 90.00 90.00 90.00
Fractional coordinates of all 10 atoms:
Sc 0.1557 0.6557 0.5000
Sc 0.8443 0.3443 0.5000
Sc 0.6557 0.8443 0.5000
Sc 0.3443 0.1557 0.5000
Pd 0.1345 0.3655 0.0000
Pd 0.3655 0.8655 0.0000
Pd 0.6345 0.1345 0.0000
Pd 0.8655 0.6345 0.0000
Y 0.0000 0.0000 0.0000
Y 0.5000 0.5000 0.0000

Summary:
Polymorph energy (0 for the lowest one) ... 0 meV per atom
Electronic total energy ... -65.8 eV for the cell shown

=====

A relaxed structure of YScPd4. Source: the Alexandria database, functional PBE.

abc: 5.3822 5.3822 5.3822
angles: 60.00 60.00 60.00
Fractional coordinates of all 6 atoms:
Pd 0.6247 0.6247 0.1259
Pd 0.6247 0.1259 0.6247
Pd 0.1259 0.6247 0.6247
Pd 0.6247 0.6247 0.6247
Y 0.0000 0.0000 0.0000
Sc 0.2500 0.2500 0.2500

Summary:
Polymorph energy (0 for the lowest one) ... 40 meV per atom
Electronic total energy ... -38.0 eV for the cell shown

=====

A relaxed structure of YSc4Pd4. Source: the Alexandria database, functional PBE.

abc: 5.4185 8.7216 8.7216
angles: 90.00 90.00 90.00
Fractional coordinates of all 18 atoms:
Y 0.5000 0.5000 0.5000
Y 0.0000 0.0000 0.0000
Sc 0.4102 0.6629 0.1000
Sc 0.0898 0.1629 0.6000
Sc 0.4102 0.3371 0.9000
Sc 0.5898 0.9000 0.6629
Sc 0.9102 0.6000 0.8371
Sc 0.5898 0.1000 0.3371
Sc 0.0898 0.8371 0.4000
Sc 0.9102 0.4000 0.1629
Pd 0.5864 0.2062 0.6338
Pd 0.9136 0.2938 0.8662
Pd 0.4136 0.3662 0.2062
Pd 0.4136 0.6338 0.7938
Pd 0.0864 0.1338 0.2938
Pd 0.0864 0.8662 0.7062
Pd 0.5864 0.7938 0.3662
Pd 0.9136 0.7062 0.1338

Summary:
Electronic total energy ... -116.0 eV for the cell shown

=====

A relaxed structure of YScPd2. Source: the Alexandria database, functional PBE.

abc: 7.4405 7.4405 6.0998
angles: 52.42 52.42 90.00
Fractional coordinates of all 8 atoms:
Sc 0.5000 0.5000 0.0000
Sc 0.2500 0.7500 0.5000
Pd 0.3750 0.3967 0.7500
Pd 0.6033 0.1250 0.2500
Pd 0.8750 0.8533 0.7500
Pd 0.1467 0.6250 0.2500
Y 0.7500 0.2500 0.5000
Y 0.0000 0.0000 0.0000

Summary:
Polymorph energy (0 for the lowest one) ... 366 meV per atom
Electronic total energy ... -50.4 eV for the cell shown

=====

A relaxed structure of Y3ScPd3. Source: the Alexandria database, functional PBE.

abc: 6.8615 6.8615 7.0520
angles: 91.95 91.95 96.83
Fractional coordinates of all 14 atoms:
Y 0.2587 0.7413 0.0000
Y 0.6523 0.6523 0.3693
Y 0.1747 0.8253 0.5000
Y 0.3477 0.3477 0.6307
Y 0.8253 0.1747 0.5000
Y 0.7413 0.2587 0.0000
Sc 0.2546 0.2546 0.1206
Sc 0.7454 0.7454 0.8794
Pd 0.9668 0.5083 0.7162
Pd 0.9375 0.9375 0.1846
Pd 0.0625 0.0625 0.8154
Pd 0.4917 0.0332 0.2838
Pd 0.5083 0.9668 0.7162
Pd 0.0332 0.4917 0.2838

Summary:
Electronic total energy ... -92.2 eV for the cell shown

=====

A relaxed structure of Y5ScPd6. Source: the Alexandria database, functional PBE.

abc: 4.9698 6.8293 8.5838
angles: 66.55 73.35 90.00
Fractional coordinates of all 12 atoms:
Pd 0.1600 0.9172 0.6824
Pd 0.1599 0.4006 0.6823
Pd 0.5000 0.2394 0.0000
Pd 0.8401 0.5994 0.3177
Pd 0.5000 0.7606 0.0000
Pd 0.8400 0.0828 0.3176
Y 0.3333 0.8339 0.3320
Y 0.0000 0.5000 0.0000
Y 0.6667 0.1661 0.6680
Y 0.6673 0.6670 0.6660
Y 0.3327 0.3330 0.3340
Sc 0.0000 0.0000 0.0000

Summary:
Electronic total energy ... -80.2 eV for the cell shown

=====

A relaxed structure of YSc2Pd2. Source: the Alexandria database, functional PBE.

abc: 4.3663 4.3663 6.6267
angles: 70.76 70.76 90.00
Fractional coordinates of all 5 atoms:
Y 0.0000 0.0000 0.0000
Pd 0.3877 0.3877 0.2246
Pd 0.6123 0.6123 0.7754
Sc 0.2500 0.7500 0.5000
Sc 0.7500 0.2500 0.5000

Summary:
Polymorph energy (0 for the lowest one) ... 44 meV per atom
Electronic total energy ... -32.7 eV for the cell shown

=====

A relaxed structure of YSc2Pd3. Source: the Alexandria database, functional PBE.

abc: 3.3422 3.3422 10.3590
angles: 90.00 90.00 90.00
Fractional coordinates of all 6 atoms:
Pd 0.0000 0.0000 0.3099
Pd 0.0000 0.0000 0.0000
Pd 0.0000 0.0000 0.6901
Y 0.5000 0.5000 0.5000
Sc 0.5000 0.5000 0.1597
Sc 0.5000 0.5000 0.8403

Summary:
Electronic total energy ... -40.0 eV for the cell shown

=====

A relaxed structure of YSc2Pd. Source: the Alexandria database, functional PBE.

abc: 8.0768 8.0768 6.4677
angles: 51.36 51.36 90.00
Fractional coordinates of all 8 atoms:
Sc 0.0590 0.6250 0.2500
Sc 0.3750 0.3090 0.7500
Sc 0.6910 0.1250 0.2500
Sc 0.8750 0.9410 0.7500
Pd 0.0000 0.0000 0.0000
Pd 0.7500 0.2500 0.5000
Y 0.2500 0.7500 0.5000
Y 0.5000 0.5000 0.0000

Summary:
Polymorph energy (0 for the lowest one) ... 197 meV per atom
Electronic total energy ... -50.7 eV for the cell shown

=====

A relaxed structure of Y2ScPd9. Source: the Alexandria database, functional PBE.

abc: 4.1015 4.1015 12.2334
angles: 90.00 90.00 90.00
Fractional coordinates of all 12 atoms:
Pd 0.0000 0.5000 0.8417
Pd 0.5000 0.5000 0.3298
Pd 0.0000 0.5000 0.5000
Pd 0.0000 0.5000 0.1583
Pd 0.5000 0.0000 0.5000
Pd 0.5000 0.5000 0.0000
Pd 0.5000 0.0000 0.1583
Pd 0.5000 0.5000 0.6702
Pd 0.5000 0.0000 0.8417
Y 0.0000 0.0000 0.6708
Y 0.0000 0.0000 0.3292
Sc 0.0000 0.0000 0.0000

Summary:
Electronic total energy ... -76.0 eV for the cell shown

=====

Fermi-level density of states (computed, states/eV/atom): 0.45 1.08 1.79 1.22 0.69 1.44 1.25 1.08 1.22 0.80 0.99 0.95 0.51 1.18 0.75 0.97 0.65 0.77 0.55 1.77 0.72 1.16 0.77